Entry A
Compound: TcMoIr2
Source: Alexandria
Functional: GGA-PBEsol
Structure: optimized geometry

Geometry as extended XYZ:
```
4
Lattice="-1.587 1.901 1.133 -3.469 -1.666 -2.063 -0.815 -2.889 3.704" Properties=species:S:1:pos:R:3 pbc="T T T"
Ir -2.311 -2.876 1.587
Mo -1.233 -0.607 2.564
Ir -0.040 -0.141 0.181
Tc -2.695 -0.475 0.295
```

Properties
Spin magnetization   0.00 Bohr magnetons per cell
Space group   Pmm2 (25)

***

Entry B
Compound: TcMoIr2
Source: Alexandria
Functional: GGA-PBEsol
Structure: optimized geometry

Geometry as extended XYZ:
```
4
Lattice="-0.491 -2.097 1.648 4.528 -1.317 -0.326 -0.568 2.981 3.623" Properties=species:S:1:pos:R:3 pbc="T T T"
Tc -0.245 -1.048 0.824
Mo 1.735 -0.216 2.473
Ir -0.284 1.491 1.812
Ir 2.264 -0.658 -0.163
```

Properties
Spin magnetization   0.00 Bohr magnetons per cell
Space group   Cmmm (65)

***

Entry C
Compound: TcMoIr2
Source: Alexandria
Functional: GGA-PBEsol
Structure: optimized geometry

Geometry as extended XYZ:
```
4
Lattice="3.831 0.000 0.000 0.000 3.831 0.000 -1.915 -1.915 3.876" Properties=species:S:1:pos:R:3 pbc="T T T"
Ir 0.000 1.915 1.938
Tc 1.915 1.915 0.000
Ir 1.915 0.000 1.938
Mo 0.000 0.000 0.000
```

Properties
Spin magnetization   0.00 Bohr magnetons per cell
Space group   I4/mmm (139)

***

Going by the energies, entry A is most stable and the next is 81 meV per atom up.

***

Entry A
Compound: TcMoIr2
Source: Alexandria
Functional: GGA-PBEsol
Structure: optimized geometry

Geometry as extended XYZ:
```
4
Lattice="-0.913 -1.462 2.091 -1.572 -2.543 -2.464 4.606 -2.859 0.012" Properties=species:S:1:pos:R:3 pbc="T T T"
Ir 1.170 -0.726 0.003
Tc 1.061 -3.432 -0.180
Mo -1.242 -2.002 -0.186
Ir 3.436 -2.133 0.009
```

Properties
Spin magnetization   0.00 Bohr magnetons per cell
Space group   Pmmm (47)

***

Entry B
Compound: TcMoIr2
Source: Alexandria
Functional: GGA-PBEsol
Structure: optimized geometry

Geometry as extended XYZ:
```
4
Lattice="-1.806 2.714 -2.014 -3.355 -1.168 1.436 0.408 2.466 2.957" Properties=species:S:1:pos:R:3 pbc="T T T"
Ir -0.903 1.357 -1.007
Tc 0.204 1.233 1.479
Mo -2.377 2.006 1.190
Ir -1.678 -0.584 0.718
```

Properties
Spin magnetization   0.00 Bohr magnetons per cell
Space group   P4/mmm (123)

***

Going by the energies, entry B is most stable and the next is 30 meV per atom up.